First-principles (PBE+U) data for crystalline NaNd3Ti3MnO12 at its relaxed geometry, as listed in Alexandria via LeMat-Bulk.

Cell and atoms, written as CIF:
```
data_NaNd3Ti3MnO12
_chemical_formula_sum 'Na1 Nd3 Ti3 Mn1 O12'
_cell_length_a 5.494
_cell_length_b 5.698
_cell_length_c 7.867
_cell_angle_alpha 89.72
_cell_angle_beta 89.81
_cell_angle_gamma 89.71
_symmetry_space_group_name_H-M 'P 1'
_symmetry_Int_Tables_number 1
loop_
_symmetry_equiv_pos_as_xyz
'x,y,z'
loop_
_atom_site_label
_atom_site_type_symbol
_atom_site_fract_x
_atom_site_fract_y
_atom_site_fract_z
_atom_site_occupancy
Na1 Na 0.000 0.000 0.000 1
Nd1 Nd 0.011 0.087 0.518 1
Nd2 Nd 0.488 0.581 0.515 1
Nd3 Nd 0.516 0.464 0.002 1
Ti1 Ti 0.014 0.545 0.262 1
Ti2 Ti 0.528 0.021 0.247 1
Ti3 Ti 0.999 0.534 0.773 1
Mn1 Mn 0.500 0.022 0.766 1
O1 O 0.083 0.554 0.012 1
O2 O 0.190 0.803 0.698 1
O3 O 0.202 0.808 0.314 1
O4 O 0.278 0.324 0.306 1
O5 O 0.281 0.334 0.711 1
O6 O 0.412 0.057 0.027 1
O7 O 0.588 0.000 0.493 1
O8 O 0.693 0.721 0.216 1
O9 O 0.697 0.703 0.792 1
O10 O 0.779 0.237 0.215 1
O11 O 0.807 0.249 0.796 1
O12 O 0.910 0.503 0.498 1
```

Output
Calculated volume (Å³ per cell): 246.2
E (eV/atom): -8.30